No. 1
This record from Alexandria via LeMat-Bulk describes Ho4InCu2Os after structural relaxation. The functional is PBE-GGA.

space-group type = R-3m (166)
DFT total energy = -43.13 eV per cell
ΔH_f (0 K) = -332 meV/atom

a = 4.9761 Å, b = 4.9761 Å, c = 8.6461 Å
α = 73.28°, β = 73.28°, γ = 60.00°
Fractional positions:
1 Ho 0.3848 0.3848 0.8456
2 Cu 0.2578 0.2578 0.2266
3 In 0.0000 0.0000 0.0000
4 Os 0.5000 0.5000 0.5000
5 Ho 0.6152 0.6152 0.1544
6 Ho 0.1325 0.1325 0.6024
7 Cu 0.7422 0.7422 0.7734
8 Ho 0.8675 0.8675 0.3976


No. 2
This record from Alexandria via LeMat-Bulk describes NiPIr3 after structural relaxation. The functional is PBE-GGA.

space-group type = Pm-3m (221)
DFT total energy = -29.07 eV per cell
ΔH_f (0 K) = 1740 meV/atom
energy relative to the lowest polymorph listed for this composition = 0.980 eV per atom

a = 4.4585 Å, b = 4.4585 Å, c = 4.4585 Å
α = 90.00°, β = 90.00°, γ = 90.00°
Each line ends with the local moment (μB).
Fractional positions:
1 Ir 0.0000 0.5000 0.0000  0.49
2 Ir 0.0000 0.0000 0.5000  0.73
3 P 0.5000 0.5000 0.5000  -0.01
4 Ni 0.0000 0.0000 0.0000  0.58
5 Ir 0.5000 0.0000 0.0000  0.29


No. 3
This record from Alexandria via LeMat-Bulk describes B5C7 after structural relaxation. The functional is PBE-GGA.

space-group type = Cm (8)
DFT total energy = -94.12 eV per cell
ΔH_f (0 K) = 320 meV/atom
energy relative to the lowest polymorph listed for this composition = 0.062 eV per atom

a = 6.2601 Å, b = 6.2601 Å, c = 5.0196 Å
α = 101.64°, β = 101.64°, γ = 24.20°
Fractional positions:
1 B 0.2486 0.2486 0.8715
2 C 0.3327 0.3327 0.1671
3 C 0.5896 0.5896 0.5434
4 C 0.5916 0.5916 0.0472
5 B 0.8966 0.8966 0.1945
6 C 0.9105 0.9105 0.7048
7 C 0.3415 0.3415 0.6701
8 B 0.0093 0.0093 0.5246
9 B 0.2478 0.2478 0.3773
10 C 0.6604 0.6604 0.3318
11 B 0.0103 0.0103 0.9883
12 C 0.6613 0.6613 0.8293


No. 4
This record from Alexandria via LeMat-Bulk describes MoPbAu2 after structural relaxation. The functional is PBE-GGA.

space-group type = Cm (8)
DFT total energy = -19.63 eV per cell
ΔH_f (0 K) = 366 meV/atom

a = 5.6089 Å, b = 5.6089 Å, c = 5.3846 Å
α = 64.62°, β = 64.62°, γ = 30.82°
Fractional positions:
1 Mo 0.5130 0.5130 0.5904
2 Au 0.2331 0.2331 0.1767
3 Pb 0.7646 0.7646 0.6570
4 Au 0.9894 0.9894 0.0759


The highest ΔH_f (0 K) belongs to which entry? NiPIr3